a) ! RbGdCoTe3, relaxed, DFT PBE-GGA; values from VASP
&SYSTEM
  ibrav = 0, nat = 12, ntyp = 4
/
ATOMIC_SPECIES
Te 127.60 Te.upf
Co 58.93 Co.upf
Gd 157.25 Gd.upf
Rb 85.47 Rb.upf
CELL_PARAMETERS angstrom
2.145 -8.410 0.000
2.145 8.410 0.000
0.000 0.000 11.467
ATOMIC_POSITIONS angstrom
Te 2.145 -2.046 4.912
Co 2.145 0.464 8.600
Te 2.145 -2.046 0.821
Gd 0.000 0.000 5.733
Rb 2.145 -4.136 8.600
Te 2.145 -7.316 2.867
Gd 0.000 0.000 0.000
Co 2.145 -0.464 2.867
Te 2.145 2.046 10.645
Te 2.145 2.046 6.555
Rb 2.145 4.136 2.867
Te 2.145 7.316 8.600
! Magnetization (μB per cell): 5.35
! SG: No. 63

---

b) ! RbGdCoTe3, relaxed, DFT PBE-GGA; values from VASP
&SYSTEM
  ibrav = 0, nat = 24, ntyp = 4
/
ATOMIC_SPECIES
Co 58.93 Co.upf
Rb 85.47 Rb.upf
Te 127.60 Te.upf
Gd 157.25 Gd.upf
CELL_PARAMETERS angstrom
12.346 0.000 0.000
0.000 4.521 0.000
0.000 0.000 13.629
ATOMIC_POSITIONS angstrom
Co 9.236 0.000 2.767
Rb 8.425 0.000 6.768
Co 3.063 0.000 4.048
Te 9.657 0.000 10.706
Te 1.251 0.000 5.931
Rb 2.252 0.000 0.046
Te 4.922 2.261 12.745
Te 6.785 2.261 9.065
Gd 0.284 0.000 9.266
Co 3.110 2.261 10.862
Te 3.484 0.000 9.737
Te 2.689 2.261 2.923
Gd 12.061 2.261 4.363
Te 11.095 2.261 7.698
Te 11.734 0.000 2.251
Rb 10.094 2.261 13.583
Gd 6.457 0.000 11.177
Te 0.612 2.261 11.378
Te 8.862 2.261 3.892
Rb 3.921 2.261 6.860
Te 7.423 0.000 0.884
Gd 5.889 2.261 2.452
Co 9.283 2.261 9.581
Te 5.561 0.000 4.563
! Magnetization (μB per cell): 8.55
! SG: No. 62

---

Stability summary: most stable a), least stable b).

---

a) ! Gd3Tm3CoTe2, relaxed, DFT PBE-GGA; values from VASP
&SYSTEM
  ibrav = 0, nat = 9, ntyp = 4
/
ATOMIC_SPECIES
Tm 168.93 Tm.upf
Gd 157.25 Gd.upf
Te 127.60 Te.upf
Co 58.93 Co.upf
CELL_PARAMETERS angstrom
-6.828 -4.661 -0.826
7.494 -3.586 0.074
-0.218 -0.374 3.913
ATOMIC_POSITIONS angstrom
Tm -1.696 -1.270 1.764
Gd 0.265 -3.286 -0.299
Tm 1.633 -1.020 1.974
Tm 0.402 -6.518 1.379
Gd -4.107 -2.804 -0.497
Gd 4.508 -2.157 0.045
Te 2.611 -4.132 1.730
Te -2.163 -4.490 1.431
Co 0.000 0.000 0.000
! Magnetization (μB per cell): 0.05
! SG: No. 189

---

b) ! Gd3Tm3CoTe2, relaxed, DFT PBE-GGA; values from VASP
&SYSTEM
  ibrav = 0, nat = 9, ntyp = 4
/
ATOMIC_SPECIES
Gd 157.25 Gd.upf
Te 127.60 Te.upf
Tm 168.93 Tm.upf
Co 58.93 Co.upf
CELL_PARAMETERS angstrom
8.358 0.000 0.000
-4.179 7.238 0.000
0.000 0.000 3.867
ATOMIC_POSITIONS angstrom
Gd 2.000 0.000 1.933
Gd 3.179 5.506 1.933
Gd -1.000 1.732 1.933
Te 4.179 2.413 1.933
Tm 1.660 2.876 0.000
Co 0.000 0.000 0.000
Te 0.000 4.825 1.933
Tm 5.037 0.000 0.000
Tm -2.519 4.362 0.000
! Magnetization (μB per cell): 0.04
! SG: No. 189

---

Stability summary: most stable a), least stable b).

---

a) ! Co15Ge, relaxed, DFT PBE-GGA; values from VASP
&SYSTEM
  ibrav = 0, nat = 32, ntyp = 2
/
ATOMIC_SPECIES
Co 58.93 Co.upf
Ge 72.64 Ge.upf
CELL_PARAMETERS angstrom
3.503 0.000 0.000
0.000 3.503 0.000
0.000 0.000 41.554
ATOMIC_POSITIONS angstrom
Co 1.751 0.000 32.220
Co 1.751 0.000 7.515
Co 1.751 1.752 12.838
Co 1.751 0.000 28.716
Ge 0.000 1.752 7.500
Co 1.751 1.752 30.487
Co 1.751 1.752 19.895
Co 0.000 1.752 25.189
Co 0.000 1.752 32.220
Co 0.000 1.752 11.053
Co 0.000 0.000 30.502
Co 1.751 1.752 9.334
Co 0.000 1.752 28.716
Co 0.000 0.000 23.427
Co 0.000 1.752 14.594
Co 1.751 1.752 23.424
Co 1.751 0.000 11.067
Co 1.751 0.000 18.130
Co 0.000 0.000 26.960
Co 1.751 1.752 34.040
Co 0.000 1.752 18.127
Co 0.000 0.000 9.334
Co 1.751 0.000 14.599
Co 0.000 0.000 12.838
Co 1.751 0.000 25.189
Ge 0.000 0.000 34.053
Co 1.751 0.000 21.659
Co 0.000 1.752 21.659
Co 0.000 0.000 16.365
Co 1.751 1.752 16.365
Co 0.000 0.000 19.895
Co 1.751 1.752 26.955
! Magnetization (μB per cell): 46.60
! SG: No. 51

---

b) ! Co15Ge, relaxed, DFT PBE-GGA; values from VASP
&SYSTEM
  ibrav = 0, nat = 32, ntyp = 2
/
ATOMIC_SPECIES
Co 58.93 Co.upf
Ge 72.64 Ge.upf
CELL_PARAMETERS angstrom
4.945 0.000 0.000
0.000 3.517 0.000
-0.006 0.000 33.701
ATOMIC_POSITIONS angstrom
Co 3.086 0.879 26.153
Co 0.607 0.879 11.237
Ge 0.613 0.879 26.218
Co 4.324 2.638 12.488
Co 4.331 2.638 22.463
Co 3.088 0.879 16.227
Co 3.086 0.879 13.740
Co 0.640 0.879 8.755
Co 4.325 2.638 10.050
Co 4.323 2.638 17.472
Co 0.614 0.879 21.212
Co 3.087 0.879 18.720
Co 1.852 2.638 14.980
Co 1.852 2.638 12.496
Co 4.298 2.638 24.945
Co 1.853 2.638 7.547
Co 3.065 0.879 8.756
Co 3.097 0.879 11.237
Ge 4.325 2.638 7.483
Co 1.852 2.638 9.980
Co 4.323 2.638 14.986
Co 0.615 0.879 16.229
Co 0.613 0.879 23.651
Co 0.615 0.879 18.714
Co 3.086 0.879 21.204
Co 3.086 0.879 23.721
Co 1.851 2.638 17.474
Co 1.841 2.638 22.463
Co 4.321 2.638 19.961
Co 1.852 2.638 19.960
Co 0.617 0.879 13.740
Co 1.873 2.638 24.945
! Magnetization (μB per cell): 47.61
! SG: No. 11

---

Stability summary: most stable a), least stable b).

---

a) ! Co15Ge, relaxed, DFT PBE-GGA; values from VASP
&SYSTEM
  ibrav = 0, nat = 32, ntyp = 2
/
ATOMIC_SPECIES
Co 58.93 Co.upf
Ge 72.64 Ge.upf
CELL_PARAMETERS angstrom
7.014 0.000 0.000
0.000 2.493 0.000
-0.001 0.000 33.522
ATOMIC_POSITIONS angstrom
Co 2.630 1.869 12.435
Co 2.626 1.869 22.348
Co 6.137 1.869 12.423
Ge 0.876 0.623 26.071
Co 2.630 1.869 14.899
Co 2.630 1.869 9.923
Co 2.633 1.869 19.855
Co 6.082 1.869 24.831
Co 2.630 1.869 7.549
Co 6.137 1.869 9.983
Co 0.876 0.623 23.539
Co 4.383 0.623 18.623
Co 6.136 1.869 14.906
Co 0.875 0.623 16.141
Ge 6.137 1.869 7.451
Co 4.384 0.623 16.138
Co 4.380 0.623 13.667
Co 0.873 0.623 11.174
Co 2.685 1.869 24.830
Co 4.387 0.623 11.174
Co 0.932 0.623 8.691
Co 6.134 1.869 19.857
Co 2.629 1.869 17.384
Co 4.383 0.623 25.973
Co 6.140 1.869 22.347
Co 4.383 0.623 21.087
Co 0.877 0.623 18.616
Co 0.876 0.623 21.099
Co 6.138 1.869 17.381
Co 0.879 0.623 13.665
Co 4.328 0.623 8.692
Co 4.383 0.623 23.599
! Magnetization (μB per cell): 48.18
! SG: No. 11

---

b) ! Co15Ge, relaxed, DFT PBE-GGA; values from VASP
&SYSTEM
  ibrav = 0, nat = 32, ntyp = 2
/
ATOMIC_SPECIES
Co 58.93 Co.upf
Ge 72.64 Ge.upf
CELL_PARAMETERS angstrom
-1.497 0.179 4.026
3.107 -33.416 2.643
4.280 0.400 0.022
ATOMIC_POSITIONS angstrom
Co 2.888 -15.799 3.297
Co 0.633 -14.768 3.188
Co 1.267 -13.624 1.078
Co 2.659 -13.335 3.102
Co 3.981 -19.591 1.577
Co 1.092 -19.702 3.579
Co 2.182 -23.466 1.856
Co 3.118 -18.270 3.492
Ge -0.058 -7.330 2.600
Co 3.347 -20.734 3.687
Ge 2.417 -25.996 2.056
Co 1.496 -16.090 1.273
Co 2.198 -8.384 2.710
Co 1.956 -21.037 1.664
Co 2.838 -7.298 0.604
Co 1.036 -11.140 0.881
Co 0.863 -17.235 3.383
Co 3.577 -23.207 3.883
Co 3.802 -25.628 4.074
Co 3.751 -17.127 1.382
Co 3.522 -14.656 1.186
Co 0.403 -12.290 2.992
Co 4.212 -22.077 1.773
Co 2.428 -10.850 2.905
Co 1.726 -18.557 1.468
Co 3.063 -9.720 0.796
Co 0.177 -9.860 2.800
Co 4.441 -24.543 1.968
Co 3.293 -12.192 0.991
Co 0.807 -8.673 0.686
Co 1.553 -24.653 3.970
Co 1.323 -22.187 3.775
! Magnetization (μB per cell): 47.36
! SG: No. 13

---

Stability summary: most stable b), least stable a).